1.
# MnZn8 | the Alexandria database | PBE | optimized geometry
# Final energy, eV per atom: -2.1256
# V, Å³/atom: 14.507
# Formation energy, eV/atom: 0.026
data_MnZn8
_space_group_name_H-M_alt 'I 4/m m m'
_space_group_IT_number 139
_space_group_name_Hall '-I 4 2'
_cell_length_a 8.1883
_cell_length_b 8.1883
_cell_length_c 3.8946
_cell_angle_alpha 90.00
_cell_angle_beta 90.00
_cell_angle_gamma 90.00
loop_
_atom_site_label
_atom_site_type_symbol
_atom_site_fract_x
_atom_site_fract_y
_atom_site_fract_z
Mn1 Mn 0.0000 0.0000 0.0000
Zn1 Zn 0.0000 0.3323 0.0000
Zn2 Zn 0.1655 0.1655 0.5000

---

2.
# Hg2ClF8 | the Alexandria database | PBE | optimized geometry
# Final energy, eV per atom: -2.5331
# V, Å³/atom: 16.158
# Uncorrected formation energy, eV/atom: -0.95
data_Hg2ClF8
_space_group_name_H-M_alt 'C 1 m 1'
_space_group_IT_number 8
_space_group_name_Hall 'C -2y'
_cell_length_a 8.1498
_cell_length_b 11.2985
_cell_length_c 3.9708
_cell_angle_alpha 90.00
_cell_angle_beta 103.55
_cell_angle_gamma 90.00
loop_
_atom_site_label
_atom_site_type_symbol
_atom_site_fract_x
_atom_site_fract_y
_atom_site_fract_z
Hg1 Hg 0.0000 0.1547 0.0000
Cl1 Cl 0.0002 0.5000 0.9994
F1 F 0.9995 0.2379 0.4996
F2 F 0.1195 0.0000 0.3138
F3 F 0.1595 0.3859 0.0778
F4 F 0.3411 0.1140 0.9209
F5 F 0.3817 0.5000 0.6851